5
Lattice="6.2016 0.0000 0.0000 0.0000 6.2016 0.0000 0.0000 0.0000 6.1602" Properties=species:S:1:pos:R:3 comment="LaMgTe2I PBE-GGA relaxed" e_form_raw_mev_per_atom=-453 final_energy_ev_per_atom=-3.324 density_g_cm3=3.8 polymorph_energy_kj_per_mol_atoms=28.41 pbc="T T T"
La 0.0000 0.0000 0.0000
Mg 3.1008 3.1008 3.0801
Te 0.0000 3.1008 0.0000
Te 3.1008 0.0000 0.0000
I 0.0000 0.0000 3.0801


5
Lattice="6.3048 0.0000 0.0000 0.0000 6.3048 0.0000 0.0000 0.0000 5.0180" Properties=species:S:1:pos:R:3 comment="LaMg2TiI PBE-GGA relaxed" e_form_raw_mev_per_atom=1041 final_energy_ev_per_atom=-2.472 density_g_cm3=3.0 pbc="T T T"
La 0.0000 0.0000 0.0000
Mg 0.0000 3.1524 0.0000
Mg 3.1524 0.0000 0.0000
Ti 0.0000 0.0000 2.5090
I 3.1524 3.1524 2.5090


5
Lattice="4.8925 0.0000 0.0000 0.0000 4.8925 0.0000 0.0000 0.0000 4.8925" Properties=species:S:1:pos:R:3 comment="LaMn3I PBE-GGA relaxed" e_form_raw_mev_per_atom=937 final_energy_ev_per_atom=-5.860 density_g_cm3=6.1 polymorph_energy_kj_per_mol_atoms=0.00 pbc="T T T"
La 0.0000 0.0000 0.0000
Mn 0.0000 2.4462 2.4462
Mn 2.4462 0.0000 2.4462
Mn 2.4462 2.4462 0.0000
I 2.4462 2.4462 2.4462


16
Lattice="6.6300 0.0000 0.0000 0.0000 6.6300 0.0000 0.0000 0.0000 6.6300" Properties=species:S:1:pos:R:3 comment="LaMn2I PBE-GGA relaxed" e_form_raw_mev_per_atom=895 final_energy_ev_per_atom=-5.310 density_g_cm3=8.6 polymorph_energy_kj_per_mol_atoms=44.91 pbc="T T T"
La 0.0000 0.0000 0.0000
La 0.0000 3.3150 3.3150
La 3.3150 0.0000 3.3150
La 3.3150 3.3150 0.0000
Mn 1.6575 1.6575 1.6575
Mn 1.6575 1.6575 4.9725
Mn 1.6575 4.9725 1.6575
Mn 1.6575 4.9725 4.9725
Mn 4.9725 1.6575 1.6575
Mn 4.9725 1.6575 4.9725
Mn 4.9725 4.9725 1.6575
Mn 4.9725 4.9725 4.9725
I 0.0000 0.0000 3.3150
I 0.0000 3.3150 0.0000
I 3.3150 0.0000 0.0000
I 3.3150 3.3150 3.3150


16
Lattice="7.7806 0.0000 0.0000 0.0000 7.7806 0.0000 0.0000 0.0000 7.7806" Properties=species:S:1:pos:R:3 comment="LaMnI2 PBE-GGA relaxed" e_form_raw_mev_per_atom=-313 final_energy_ev_per_atom=-4.612 density_g_cm3=6.3 polymorph_energy_kj_per_mol_atoms=0.00 pbc="T T T"
La 0.0000 0.0000 0.0000
La 0.0000 3.8903 3.8903
La 3.8903 0.0000 3.8903
La 3.8903 3.8903 0.0000
Mn 0.0000 0.0000 3.8903
Mn 0.0000 3.8903 0.0000
Mn 3.8903 0.0000 0.0000
Mn 3.8903 3.8903 3.8903
I 1.9451 1.9451 1.9451
I 1.9451 1.9451 5.8354
I 1.9451 5.8354 1.9451
I 1.9451 5.8354 5.8354
I 5.8354 1.9451 1.9451
I 5.8354 1.9451 5.8354
I 5.8354 5.8354 1.9451
I 5.8354 5.8354 5.8354


5
Lattice="5.4848 0.0000 0.0000 0.0000 5.4848 0.0000 0.0000 0.0000 5.4848" Properties=species:S:1:pos:R:3 comment="LaMn3I PBE-GGA relaxed" e_form_raw_mev_per_atom=1496 final_energy_ev_per_atom=-5.301 density_g_cm3=4.3 polymorph_energy_kj_per_mol_atoms=53.89 pbc="T T T"
La 0.0000 0.0000 0.0000
Mn 0.0000 0.0000 2.7424
Mn 0.0000 2.7424 0.0000
Mn 2.7424 0.0000 0.0000
I 2.7424 2.7424 2.7424


20
Lattice="8.1793 4.7223 3.7438 -8.1793 4.7223 3.7438 0.0000 -9.4446 3.7438" Properties=species:S:1:pos:R:3 comment="La7MnI12 PBE-GGA relaxed" e_form_raw_mev_per_atom=-1266 final_energy_ev_per_atom=-4.379 density_g_cm3=4.9 pbc="T T T"
La 0.0000 0.0000 0.0000
La -1.6257 -1.6249 4.0195
La -0.5944 2.2203 4.0195
La 2.2200 -0.5954 4.0195
La -2.2200 0.5954 7.2119
La 0.5944 -2.2203 7.2119
La 1.6257 1.6249 7.2119
Mn 0.0000 0.0000 5.6157
I -2.5506 0.7001 1.8193
I 0.6690 -2.5589 1.8193
I -4.4429 -1.1340 5.5468
I -1.2393 -4.4146 5.6846
I 1.8816 1.8588 1.8193
I -3.2035 3.2806 5.6846
I 3.2035 -3.2806 5.5468
I -1.8816 -1.8588 9.4121
I 1.2393 4.4146 5.5468
I 4.4429 1.1340 5.6846
I -0.6690 2.5589 9.4121
I 2.5506 -0.7001 9.4121


14
Lattice="4.7619 0.0000 0.0000 0.0000 4.7619 0.0000 0.0000 0.0000 18.3940" Properties=species:S:1:pos:R:3 comment="LaMn4I2 PBE-GGA relaxed" e_form_raw_mev_per_atom=1158 final_energy_ev_per_atom=-5.229 density_g_cm3=4.9 pbc="T T T"
La 0.0000 0.0000 0.0000
La 2.3809 2.3809 9.1970
Mn 0.0000 0.0000 4.5144
Mn 0.0000 0.0000 13.8796
Mn 0.0000 2.3809 0.0000
Mn 0.0000 2.3809 9.1970
Mn 2.3809 0.0000 0.0000
Mn 2.3809 0.0000 9.1970
Mn 2.3809 2.3809 4.6826
Mn 2.3809 2.3809 13.7114
I 0.0000 0.0000 7.4116
I 0.0000 0.0000 10.9824
I 2.3809 2.3809 1.7854
I 2.3809 2.3809 16.6086